First-principles (SCAN) data for a PBEsol-optimized structure of ZrBe2Os, as listed in Alexandria.

The calculation puts the raw total energy at -28.11 eV per atom.

extended XYZ file:
```
4
Lattice="4.1454 0.0000 0.0000 2.0727 3.5900 0.0000 2.0727 1.1967 3.3847" Properties=species:S:1:pos:R:3 pbc="T T T"
Be 2.0727 1.1967 0.8462
Be 6.2181 3.5900 2.5385
Os 0.0000 0.0000 0.0000
Zr 4.1454 2.3933 1.6923
```